The following is a GGA-PBE calculation of a geometry-optimized NaYMn2 structure, from Alexandria via LeMat-Bulk.

Unit cell a=6.2423 b=6.2423 c=6.2423 alpha=102.83 beta=102.83 gamma=123.77
Closest atoms and distances in Å follow each position.
Positions (direct):
Na1 0.0000 0.0000 0.0000  4 Mn 2.77, 2 Y 2.94
Na2 0.7500 0.2500 0.5000  4 Mn 2.77, 2 Y 2.94
Y1 0.2500 0.7500 0.5000  4 Mn 2.93, 2 Na 2.94
Y2 0.5000 0.5000 0.0000  4 Mn 2.93, 2 Na 2.94
Mn1 0.1106 0.6250 0.9856  2 Na 2.77, 2 Y 2.93, 2 Mn 2.95
Mn2 0.3750 0.3606 0.4856  2 Na 2.77, 2 Y 2.93, 2 Mn 2.95
Mn3 0.6394 0.1250 0.0144  2 Na 2.77, 2 Y 2.93, 2 Mn 2.95
Mn4 0.8750 0.8894 0.5144  2 Na 2.77, 2 Y 2.93, 2 Mn 2.95

Values from the calculation:
The energy of formation is 3.26 eV per formula unit. Its space group is I-42d (122). The calculation puts the energy above the lowest structure with this stoichiometry at 166 meV/atom. The total DFT energy (no corrections) is -22.86 eV/f.u.

=====

The following is a GGA-PBE calculation of a geometry-optimized NaYMn2 structure, from Alexandria via LeMat-Bulk.

Unit cell a=5.0056 b=5.0056 c=5.0056 alpha=60.00 beta=60.00 gamma=60.00
Closest atoms and distances in Å follow each position.
Positions (direct):
Na1 0.0000 0.0000 0.0000  8 Mn 3.07
Y1 0.5000 0.5000 0.5000  8 Mn 3.07
Mn1 0.2500 0.2500 0.2500  4 Na 3.07, 4 Y 3.07
Mn2 0.7500 0.7500 0.7500  4 Na 3.07, 4 Y 3.07

Values from the calculation:
The energy of formation is 2.60 eV per formula unit. Its space group is Fm-3m (225). The calculation puts the energy above the lowest structure with this stoichiometry at 0 meV/atom. The total DFT energy (no corrections) is -23.52 eV/f.u.

=====

The following is a GGA-PBE calculation of a geometry-optimized NaMnZn2 structure, from Alexandria via LeMat-Bulk.

Unit cell a=4.5727 b=4.5727 c=4.5727 alpha=60.00 beta=60.00 gamma=60.00
Closest atoms and distances in Å follow each position.
Positions (direct):
Na1 0.0000 0.0000 0.0000  8 Zn 2.80
Mn1 0.5000 0.5000 0.5000  8 Zn 2.80
Zn1 0.2500 0.2500 0.2500  4 Mn 2.80, 4 Na 2.80
Zn2 0.7500 0.7500 0.7500  4 Na 2.80, 4 Mn 2.80

Values from the calculation:
The energy of formation is 1.04 eV per formula unit. Its space group is Fm-3m (225). The calculation puts the energy above the lowest structure with this stoichiometry at 0 meV/atom. The total DFT energy (no corrections) is -11.99 eV/f.u.

=====

> Which of these has the highest energy above the lowest structure with this stoichiometry?

number 1

=====

> Number 3 is which compound?

NaMnZn2

=====

> Which of these has the highest total DFT energy (no corrections)?

NaMnZn2

=====

> What is the total DFT energy (no corrections) in the first record?

-22.86 eV/f.u.